[1]
# AlCu7Sn2Au2

A geometry-optimized AlCu7Sn2Au2 structure (PBE-GGA, Alexandria via LeMat-Bulk).

Structure (POSCAR):
```
AlCu7Sn2Au2
1.0
2.566 -2.569 0.000
2.566 2.569 0.000
-2.562 0.000 14.446
Al Cu Sn Au
1 7 2 2
direct
0.000 0.000 0.000 Al
0.064 0.564 0.128 Cu
0.273 0.273 0.541 Cu
0.436 0.936 0.872 Cu
0.500 0.500 0.000 Cu
0.564 0.064 0.128 Cu
0.727 0.727 0.459 Cu
0.936 0.436 0.872 Cu
0.179 0.179 0.360 Sn
0.821 0.821 0.640 Sn
0.367 0.367 0.734 Au
0.633 0.633 0.266 Au
```

Properties
Calculated volume   15.87 A^3/atom
Space-group type   C2/m (12)
Energy relative to the elements   -0.212 eV/f.u.

---

[2]
# SrAlCuAu6

A geometry-optimized SrAlCuAu6 structure (PBE-GGA, Alexandria via LeMat-Bulk).

Structure (POSCAR):
```
SrAlCuAu6
1.0
-3.466 4.333 7.190
3.466 -4.333 7.190
3.466 4.333 -7.190
Sr Al Cu Au
2 2 2 12
direct
0.342 0.092 0.250 Sr
0.658 0.908 0.750 Sr
0.000 0.500 0.500 Al
0.500 0.500 0.000 Al
0.000 0.000 0.500 Cu
0.000 0.500 0.000 Cu
0.128 0.432 0.269 Au
0.128 0.858 0.695 Au
0.128 0.878 0.250 Au
0.337 0.142 0.769 Au
0.337 0.568 0.195 Au
0.352 0.602 0.750 Au
0.648 0.398 0.250 Au
0.663 0.432 0.805 Au
0.663 0.858 0.231 Au
0.872 0.122 0.750 Au
0.872 0.142 0.305 Au
0.872 0.568 0.731 Au
```

Properties
Calculated volume   23.99 A^3/atom
Space-group type   Imma (74)
Energy relative to the elements   -1.437 eV/f.u.

---

[3]
# SrAl4Cu2Au

A geometry-optimized SrAl4Cu2Au structure (PBE-GGA, Alexandria via LeMat-Bulk).

Structure (POSCAR):
```
SrAl4Cu2Au
1.0
2.121 1.225 9.798
-2.121 1.225 9.798
0.000 -2.450 9.798
Sr Al Cu Au
1 4 2 1
direct
0.000 0.000 0.000 Sr
0.125 0.125 0.125 Al
0.409 0.409 0.409 Al
0.591 0.591 0.591 Al
0.875 0.875 0.875 Al
0.244 0.244 0.244 Cu
0.756 0.756 0.756 Cu
0.500 0.500 0.500 Au
```

Properties
Calculated volume   19.10 A^3/atom
Space-group type   R-3m (166)
Energy relative to the elements   -1.972 eV/f.u.

---

[4]
# SrAl2CuAu4

A geometry-optimized SrAl2CuAu4 structure (PBE-GGA, Alexandria via LeMat-Bulk).

Structure (POSCAR):
```
SrAl2CuAu4
1.0
2.213 1.278 9.432
-2.213 1.278 9.432
0.000 -2.555 9.432
Sr Al Cu Au
1 2 1 4
direct
0.000 0.000 0.000 Sr
0.234 0.234 0.234 Al
0.766 0.766 0.766 Al
0.500 0.500 0.500 Cu
0.134 0.134 0.134 Au
0.405 0.405 0.405 Au
0.595 0.595 0.595 Au
0.866 0.866 0.866 Au
```

Properties
Calculated volume   20.00 A^3/atom
Space-group type   R-3m (166)
Energy relative to the elements   -3.455 eV/f.u.

---

[5]
# Sr2Al3CuAu4

A geometry-optimized Sr2Al3CuAu4 structure (PBE-GGA, Alexandria via LeMat-Bulk).

Structure (POSCAR):
```
Sr2Al3CuAu4
1.0
4.657 0.000 0.000
0.000 4.657 0.000
0.000 0.000 9.994
Sr Al Cu Au
2 3 1 4
direct
0.000 0.500 0.245 Sr
0.500 0.000 0.755 Sr
0.000 0.000 0.000 Al
0.000 0.500 0.619 Al
0.500 0.000 0.381 Al
0.500 0.500 0.000 Cu
0.000 0.000 0.500 Au
0.000 0.500 0.875 Au
0.500 0.000 0.125 Au
0.500 0.500 0.500 Au
```

Properties
Calculated volume   21.68 A^3/atom
Space-group type   P-4m2 (115)
Energy relative to the elements   -5.660 eV/f.u.

---

[6]
# SrAlCu2Au4

A geometry-optimized SrAlCu2Au4 structure (PBE-GGA, Alexandria via LeMat-Bulk).

Structure (POSCAR):
```
SrAlCu2Au4
1.0
2.236 1.291 9.012
-2.236 1.291 9.012
0.000 -2.582 9.012
Sr Al Cu Au
1 1 2 4
direct
0.000 0.000 0.000 Sr
0.500 0.500 0.500 Al
0.237 0.237 0.237 Cu
0.763 0.763 0.763 Cu
0.133 0.133 0.133 Au
0.405 0.405 0.405 Au
0.595 0.595 0.595 Au
0.867 0.867 0.867 Au
```

Properties
Calculated volume   19.52 A^3/atom
Space-group type   R-3m (166)
Energy relative to the elements   -2.503 eV/f.u.

---

[7]
# SrAl3CuAu

A geometry-optimized SrAl3CuAu structure (PBE-GGA, Alexandria via LeMat-Bulk).

Structure (POSCAR):
```
SrAl3CuAu
1.0
3.179 -6.370 0.000
3.179 6.370 0.000
0.000 0.000 6.039
Sr Al Cu Au
2 6 2 2
direct
0.226 0.774 0.750 Sr
0.774 0.226 0.250 Sr
0.211 0.211 0.000 Al
0.211 0.211 0.500 Al
0.359 0.641 0.250 Al
0.641 0.359 0.750 Al
0.789 0.789 0.000 Al
0.789 0.789 0.500 Al
0.449 0.551 0.750 Cu
0.551 0.449 0.250 Cu
0.148 0.852 0.250 Au
0.852 0.148 0.750 Au
```

Properties
Calculated volume   20.38 A^3/atom
Space-group type   Cmcm (63)
Energy relative to the elements   -1.541 eV/f.u.

---

[8]
# TbAl4CuAu2

A geometry-optimized TbAl4CuAu2 structure (PBE-GGA, Alexandria via LeMat-Bulk).

Structure (POSCAR):
```
TbAl4CuAu2
1.0
2.173 1.255 8.688
-2.173 1.255 8.688
0.000 -2.509 8.688
Tb Al Cu Au
1 4 1 2
direct
0.000 0.000 0.000 Tb
0.131 0.131 0.131 Al
0.400 0.400 0.400 Al
0.600 0.600 0.600 Al
0.869 0.869 0.869 Al
0.500 0.500 0.500 Cu
0.241 0.241 0.241 Au
0.759 0.759 0.759 Au
```

Properties
Calculated volume   17.77 A^3/atom
Space-group type   R-3m (166)
Energy relative to the elements   -3.226 eV/f.u.